Density functional theory data (PBE+U) for a relaxed BeMo2NF crystal.

POSCAR file:
```
BeMo2NF
1.0
-2.7457 3.1443 -1.4837
-2.4509 -2.1653 -0.0533
-1.0335 1.0670 4.1738
Mo Be F N
2 1 1 1
direct
0.0000 0.0000 0.5000
0.5000 0.0000 0.0000
0.0000 0.0000 0.0000
0.0000 0.5000 0.0000
0.5000 0.5000 0.5000
```

Output
Its density of states at the Fermi level is 0.318 states/eV per atom. As for the total magnetic moment: 0.91 μB per atom. The calculation puts the total DFT energy (no corrections) at -4.53 eV per atom.